No. 1
## CsTaSe2 (PBE-GGA)

Data for a relaxed CsTaSe2 crystal.

Geometry as POSCAR:
```
CsTaSe2
1.0
7.941 0.000 0.000
0.000 7.941 0.000
3.970 3.970 4.529
Se Cs Ta
4 2 2
Cartesian
9.926 10.851 3.397 Se
5.956 5.031 3.397 Se
1.061 5.956 1.132 Se
6.880 1.985 1.132 Se
3.970 7.941 2.265 Cs
3.970 3.970 0.000 Cs
7.941 3.970 2.265 Ta
0.000 0.000 0.000 Ta
```

- DFT total energy (Ry per atom) = -0.40308
- Fermi-level density of states (states/eV/atom) = 0.391
- formation energy (no corrections) (meV/atom) = -565.4

No. 2
## Cs2Ta2Se5 (PBE-GGA)

Data for a relaxed Cs2Ta2Se5 crystal.

Geometry as POSCAR:
```
Cs2Ta2Se5
1.0
-0.383 -0.513 5.026
2.048 -6.815 -3.093
8.153 3.699 0.998
Cs Se Ta
2 5 2
Cartesian
2.709 -0.298 2.730 Cs
7.110 -3.332 0.201 Cs
8.342 0.735 3.264 Se
0.000 0.000 0.000 Se
1.477 -4.364 -0.333 Se
4.178 -4.205 2.443 Se
5.641 0.575 0.488 Se
1.919 -4.896 2.200 Ta
7.900 1.267 0.731 Ta
```

- DFT total energy (Ry per atom) = -0.41130
- Fermi-level density of states (states/eV/atom) = 0.392
- formation energy (no corrections) (meV/atom) = -836.6

No. 3
## Cs4TaSe4 (PBE-GGA)

Data for a relaxed Cs4TaSe4 crystal.

Geometry as POSCAR:
```
Cs4TaSe4
1.0
-5.283 3.135 3.818
-7.103 1.179 -3.946
-4.974 -5.064 4.127
Cs Ta Se
4 1 4
Cartesian
-12.557 -0.804 3.839 Cs
-7.657 -1.078 3.993 Cs
-9.704 0.328 0.006 Cs
-4.804 0.054 0.160 Cs
0.000 0.000 0.000 Ta
-10.343 -2.723 1.627 Se
-12.400 2.342 1.473 Se
-7.018 1.973 2.372 Se
-4.961 -3.092 2.526 Se
```

- DFT total energy (Ry per atom) = -0.30448
- polymorph energy (0 for the lowest one) (meV/atom) = 152
- formation energy (no corrections) (meV/atom) = -897.7

No. 4
## Cs3TaSe4 (PBE-GGA)

Data for a relaxed Cs3TaSe4 crystal.

Geometry as POSCAR:
```
Cs3TaSe4
1.0
-7.540 -6.716 -2.610
4.375 -7.312 6.178
-6.707 3.894 9.357
Se Ta Cs
16 4 12
Cartesian
-6.554 -6.206 7.132 Se
-6.648 -5.619 -1.072 Se
-1.115 -5.207 2.722 Se
-4.697 -7.158 11.450 Se
0.131 -2.186 4.950 Se
-8.756 -4.927 10.204 Se
-6.192 -0.865 7.760 Se
-5.174 -2.977 1.476 Se
-8.850 -4.340 2.000 Se
-1.022 -5.794 10.926 Se
-3.318 -3.929 5.794 Se
0.049 -5.844 6.413 Se
-10.003 -7.949 7.976 Se
-3.224 -4.516 13.998 Se
-9.921 -4.291 6.513 Se
-3.680 -9.270 5.166 Se
-2.806 -11.060 6.537 Ta
-1.082 -4.283 4.953 Ta
-8.790 -5.851 7.973 Ta
-7.066 0.925 6.389 Ta
-9.657 -1.488 8.810 Cs
-7.133 -9.777 6.176 Cs
-5.521 1.258 10.631 Cs
-0.214 -8.647 4.116 Cs
-6.875 -3.103 4.928 Cs
-4.350 -11.393 2.294 Cs
-4.698 -6.380 3.233 Cs
-2.380 -0.596 2.488 Cs
-5.174 -3.755 9.693 Cs
-7.492 -9.539 10.438 Cs
-2.997 -7.031 7.998 Cs
-2.739 -0.357 6.749 Cs
```

- DFT total energy (Ry per atom) = -0.34919
- Fermi-level density of states (states/eV/atom) = 0.000
- formation energy (no corrections) (meV/atom) = -1207.0

No. 5
## CsTa4Se8 (PBE-GGA)

Data for a relaxed CsTa4Se8 crystal.

Geometry as POSCAR:
```
CsTa4Se8
1.0
-0.096 7.007 -0.392
-5.697 3.551 2.046
1.535 4.055 9.272
Se Ta Cs
8 4 1
Cartesian
-1.319 3.614 2.092 Se
-4.173 5.381 3.113 Se
-2.899 7.496 9.038 Se
-4.222 8.901 2.916 Se
-2.939 10.999 8.834 Se
-0.036 5.712 8.010 Se
-1.359 7.117 1.888 Se
-0.085 9.232 7.813 Se
0.000 0.000 0.000 Ta
-0.048 3.503 -0.196 Ta
-2.849 1.776 1.023 Ta
-2.897 5.279 0.827 Ta
-2.129 7.307 5.463 Cs
```

- DFT total energy (Ry per atom) = -0.49548
- polymorph energy (0 for the lowest one) (meV/atom) = 0
- Fermi-level density of states (states/eV/atom) = 0.463
- formation energy (no corrections) (meV/atom) = -884.4

No. 6
## Cs2TaSe3 (PBE-GGA)

Data for a relaxed Cs2TaSe3 crystal.

Geometry as POSCAR:
```
Cs2TaSe3
1.0
5.389 0.000 0.000
0.000 5.118 0.000
-2.694 -2.559 8.930
Cs Se Ta
2 3 1
Cartesian
2.694 2.559 2.689 Cs
0.000 0.000 6.241 Cs
0.000 0.000 2.487 Se
2.694 2.559 6.443 Se
0.000 2.559 0.000 Se
0.000 0.000 0.000 Ta
```

- DFT total energy (Ry per atom) = -0.34637
- Fermi-level density of states (states/eV/atom) = 0.591
- formation energy (no corrections) (meV/atom) = -710.3

No. 7
## CsTa4Se8 (PBE-GGA)

Data for a relaxed CsTa4Se8 crystal.

Geometry as POSCAR:
```
CsTa4Se8
1.0
3.467 0.000 0.751
1.567 9.040 1.141
-0.302 -0.002 9.771
Ta Se Cs
4 8 1
Cartesian
1.446 4.635 1.703 Ta
2.437 1.568 5.503 Ta
2.429 7.501 5.540 Ta
3.421 4.435 9.340 Ta
1.570 6.239 9.507 Se
3.297 2.830 1.536 Se
1.965 3.032 7.683 Se
4.434 8.995 4.662 Se
0.432 0.074 6.382 Se
0.927 3.079 4.097 Se
2.902 6.037 3.360 Se
3.939 5.990 6.947 Se
1.499 0.014 9.837 Cs
```

- DFT total energy (Ry per atom) = -0.48772
- polymorph energy (0 for the lowest one) (meV/atom) = 106
- Fermi-level density of states (states/eV/atom) = 0.432
- formation energy (no corrections) (meV/atom) = -778.8

No. 8
## Cs3TaSe4 (PBE-GGA)

Data for a relaxed Cs3TaSe4 crystal.

Geometry as POSCAR:
```
Cs3TaSe4
1.0
7.897 -0.150 -0.027
-4.020 6.799 0.027
-3.462 -2.437 6.668
Se Cs Ta
4 3 1
Cartesian
-1.634 0.953 3.212 Se
-3.489 4.283 2.260 Se
-4.385 2.557 5.674 Se
2.452 0.778 2.233 Se
0.314 4.272 2.236 Cs
0.755 -0.440 5.411 Cs
4.426 -2.581 6.627 Cs
-3.724 2.172 3.372 Ta
```

- DFT total energy (Ry per atom) = -0.34303
- Fermi-level density of states (states/eV/atom) = 0.000
- formation energy (no corrections) (meV/atom) = -1123.3

Among the records above, which one has the highest formation energy (no corrections)? CsTaSe2